A geometry-optimized V4Pt4Rh5 structure. Source: Alexandria, functional PBE.

Output
- Formation energy from the elements: -0.44 eV/atom
- Magnetization: 2.97 μB per cell
- Energy: -7.93 eV/atom
- Calculated density: 13362 kg/m3
- Volume: 372.5 Å³ per cell

Cell: 9.8051 9.8051 3.8744 Å, 90.00 90.00 90.00°
Closest atoms and distances in Å follow each position.
Space group I4/m (No. 87)
Inequivalent atoms, fractional coordinates:
1 V 0.1389 0.2294 0.0000  6 Rh 2.63-2.74, 4 Pt 2.63-2.71, 2 V 2.94
2 Pt 0.0899 0.6231 0.0000  4 V 2.63-2.71, 3 Rh 2.70-2.75, 4 Pt 2.87
3 Rh 0.0000 0.0000 0.0000  4 V 2.63, 8 Rh 2.73
4 Rh 0.0504 0.8101 0.5000  5 V 2.66-2.74, 3 Pt 2.70-2.75, 4 Rh 2.72-2.73

=====

A geometry-optimized Rb3Dy3BiTe8 structure. Source: Alexandria, functional PBE.

Output
- Magnetization: 0.00 μB per cell
- Energy: -4.16 eV/atom
- Calculated density: 5432 kg/m3
- Uncorrected formation energy: -1109 meV per atom
- Volume: 603.3 Å³ per cell

Cell: 8.8818 8.9067 10.1753 Å, 64.23 64.16 60.14°
Closest atoms and distances in Å follow each position.
Space group P-1 (No. 2)
Inequivalent atoms, fractional coordinates:
1 Rb 0.0000 0.0000 0.0000  6 Te 3.68-3.71
2 Rb 0.0000 0.5000 0.0000  6 Te 3.68-3.71
3 Rb 0.5000 0.0000 0.0000  6 Te 3.68-3.70
4 Dy 0.0000 0.5000 0.5000  6 Te 3.09-3.11
5 Dy 0.5000 0.0000 0.5000  6 Te 3.09-3.12
6 Dy 0.5000 0.5000 0.5000  6 Te 3.09-3.11
7 Bi 0.0000 0.0000 0.5000  6 Te 3.17-3.18
8 Te 0.2381 0.2378 0.2996  2 Dy 3.09, 1 Bi 3.17
9 Te 0.2382 0.7243 0.2994  2 Dy 3.09, 1 Bi 3.18
10 Te 0.2666 0.2668 0.7001  3 Dy 3.11-3.12
11 Te 0.2755 0.7622 0.7004  2 Dy 3.09, 1 Bi 3.17

=====

A geometry-optimized TlRhBr2 structure. Source: Alexandria, functional PBE.

Output
- Magnetization: 0.00 μB per cell
- Energy: -3.56 eV/atom
- Calculated density: 6431 kg/m3
- Uncorrected formation energy: -290 meV per atom
- Volume: 241.2 Å³ per cell

Cell: 11.3024 3.6528 6.6175 Å, 90.00 118.01 90.00°
Closest atoms and distances in Å follow each position.
Space group Cm (No. 8)
Inequivalent atoms, fractional coordinates:
1 Tl 0.0000 0.0000 0.0000  3 Rh 2.97-3.24, 2 Br 3.26-3.27
2 Rh 0.2652 0.0000 0.0087  4 Br 2.51
3 Br 0.1731 0.5000 0.7141  2 Rh 2.51
4 Br 0.3411 0.5000 0.3030  2 Rh 2.51

=====

A geometry-optimized SrZrTl2Tc structure. Source: Alexandria, functional PBE.

Output
- Formation energy from the elements: 0.20 eV/atom
- Magnetization: 0.00 μB per cell
- Energy: -4.86 eV/atom
- Calculated density: 7776 kg/m3
- Volume: 146.4 Å³ per cell

Cell: 5.4471 5.4471 4.9343 Å, 90.00 90.00 90.00°
Closest atoms and distances in Å follow each position.
Space group P4/mmm (No. 123)
Inequivalent atoms, fractional coordinates:
1 Sr 0.0000 0.0000 0.0000  8 Tl 3.67, 4 Zr 3.85
2 Zr 0.5000 0.5000 0.0000  2 Tc 2.47
3 Tl 0.0000 0.5000 0.5000  2 Tc 2.72
4 Tc 0.5000 0.5000 0.5000  2 Zr 2.47, 4 Tl 2.72

=====

A geometry-optimized SmDy3In3Te8 structure. Source: Alexandria, functional PBE.

Output
- Magnetization: 0.00 μB per cell
- Energy: -4.46 eV/atom
- Calculated density: 6307 kg/m3
- Uncorrected formation energy: -1006 meV per atom
- Volume: 1582.1 Å³ per cell

Cell: 8.7965 8.7965 23.6109 Å, 90.00 90.00 120.00°
Closest atoms and distances in Å follow each position.
Space group R-3m (No. 166, hexagonal axes)
Inequivalent atoms, fractional coordinates:
1 Sm 0.0000 0.0000 0.0000  6 Te 3.15
2 Dy 0.0000 0.5000 0.0000  6 Te 3.09-3.10
3 In 0.0000 0.5000 0.5000  6 Te 3.33-3.34
4 Te 0.0000 0.0000 0.2580  3 Dy 3.10, 3 In 3.33
5 Te 0.0067 0.5034 0.2575  2 Dy 3.09, 1 Sm 3.15, 2 In 3.34

=====

A geometry-optimized Nd2TmPuN4 structure. Source: Alexandria, functional PBE.

Output
- Magnetization: 4.53 μB per cell
- Energy: -9.14 eV/atom
- Calculated density: 10073 kg/m3
- Uncorrected formation energy: -1434 meV per atom
- Volume: 124.9 Å³ per cell

Cell: 6.0861 3.5398 6.1352 Å, 90.00 109.15 90.00°
Closest atoms and distances in Å follow each position.
Space group P2/m (No. 10)
Inequivalent atoms, fractional coordinates:
1 Nd 0.0000 0.0000 0.0000  6 N 2.59-2.60
2 Nd 0.5000 0.5000 0.0000  6 N 2.56-2.57
3 Tm 0.0000 0.5000 0.5000  6 N 2.42-2.45
4 Pu 0.5000 0.0000 0.5000  6 N 2.39-2.41
5 N 0.2479 0.0000 0.7282  1 Pu 2.39, 2 Tm 2.45, 3 Nd 2.57-2.59
6 N 0.2614 0.5000 0.2750  2 Pu 2.41, 1 Tm 2.42, 3 Nd 2.56-2.60

=====

A geometry-optimized Cs2KZnBi2 structure. Source: Alexandria, functional PBE.

Output
- Formation energy from the elements: -0.28 eV/atom
- Magnetization: 0.00 μB per cell
- Energy: -2.25 eV/atom
- Calculated density: 4741 kg/m3
- Volume: 1104.3 Å³ per cell

Cell: 8.7100 16.5488 7.6614 Å, 90.00 90.00 90.00°
Closest atoms and distances in Å follow each position.
Space group Ibam (No. 72)
Inequivalent atoms, fractional coordinates:
1 Cs 0.2198 0.1696 0.0000  5 Bi 3.81-4.22, 2 Zn 3.90, 2 K 4.18
2 K 0.0000 0.5000 0.2500  4 Bi 3.62, 2 K 3.83
3 Zn 0.0000 0.0000 0.2500  4 Bi 2.88
4 Bi 0.1865 0.0847 0.5000  2 Zn 2.88

=====

A geometry-optimized CaLaSc structure. Source: Alexandria, functional PBE.

Output
- Formation energy from the elements: 0.15 eV/atom
- Magnetization: 0.00 μB per cell
- Energy: -4.27 eV/atom
- Calculated density: 3680 kg/m3
- Volume: 404.2 Å³ per cell

Cell: 11.6908 4.8722 7.4397 Å, 90.00 107.48 90.00°
Closest atoms and distances in Å follow each position.
Space group C2/m (No. 12)
Inequivalent atoms, fractional coordinates:
1 Ca 0.1578 0.0000 0.0769  3 Ca 3.52-3.66, 5 Sc 3.61-3.86, 4 La 3.64-3.80
2 La 0.1540 0.0000 0.5649  4 Sc 3.37-3.46, 3 La 3.44-3.63, 1 Ca 3.64
3 Sc 0.0032 0.5000 0.2770  1 Sc 3.34, 4 La 3.37-3.46, 4 Ca 3.61-3.67

=====

A geometry-optimized NaCr3Rh structure. Source: Alexandria, functional PBE.

Output
- Formation energy from the elements: 2.54 eV/atom
- Magnetization: 0.00 μB per cell
- Energy: -4.97 eV/atom
- Calculated density: 6274 kg/m3
- Volume: 74.6 Å³ per cell

Cell: 4.2099 4.2099 4.2099 Å, 90.00 90.00 90.00°
Closest atoms and distances in Å follow each position.
Space group Pm-3m (No. 221)
Inequivalent atoms, fractional coordinates:
1 Na 0.0000 0.0000 0.0000  6 Cr 2.10
2 Cr 0.0000 0.0000 0.5000  2 Na 2.10
3 Rh 0.5000 0.5000 0.5000  12 Cr 2.98

=====

A geometry-optimized KNiRu4 structure. Source: Alexandria, functional PBE.

Output
- Formation energy from the elements: 1.09 eV/atom
- Magnetization: 19.69 μB per cell
- Energy: -6.24 eV/atom
- Calculated density: 8145 kg/m3
- Volume: 409.4 Å³ per cell

Cell: 7.4255 7.4255 7.4255 Å, 90.00 90.00 90.00°
Closest atoms and distances in Å follow each position.
Space group F-43m (No. 216)
Inequivalent atoms, fractional coordinates:
1 K 0.0000 0.0000 0.0000  12 Ru 3.08, 4 Ni 3.22
2 Ni 0.2500 0.2500 0.7500  12 Ru 3.08, 4 K 3.22
3 Ru 0.1243 0.1243 0.3757  6 Ru 2.61-2.64

=====

A geometry-optimized LaIr2Se structure. Source: Alexandria, functional PBE.

Output
- Magnetization: 0.00 μB per cell
- Energy: -6.71 eV/atom
- Calculated density: 12920 kg/m3
- Uncorrected formation energy: -180 meV per atom
- Volume: 77.4 Å³ per cell

Cell: 4.1982 4.1982 4.3920 Å, 90.00 90.00 90.00°
Closest atoms and distances in Å follow each position.
Space group P4/mmm (No. 123)
Inequivalent atoms, fractional coordinates:
1 La 0.0000 0.0000 0.0000  4 Se 2.97, 8 Ir 3.04
2 Ir 0.0000 0.5000 0.5000  4 Ir 2.97, 4 La 3.04, 4 Se 3.04
3 Se 0.5000 0.5000 0.0000  4 La 2.97, 8 Ir 3.04

=====

A geometry-optimized CaEuGePd structure. Source: Alexandria, functional PBE.

Output
- Formation energy from the elements: -0.58 eV/atom
- Magnetization: 27.64 μB per cell
- Energy: -6.10 eV/atom
- Calculated density: 6426 kg/m3
- Volume: 383.6 Å³ per cell

Cell: 7.2660 7.2660 7.2660 Å, 90.00 90.00 90.00°
Closest atoms and distances in Å follow each position.
Space group F-43m (No. 216)
Inequivalent atoms, fractional coordinates:
1 Ca 0.0000 0.0000 0.0000  4 Ge 3.15, 4 Pd 3.15
2 Eu 0.0000 0.0000 0.5000  4 Ge 3.15, 4 Pd 3.15
3 Ge 0.2500 0.2500 0.7500  4 Ca 3.15, 4 Eu 3.15
4 Pd 0.2500 0.2500 0.2500  4 Ca 3.15, 4 Eu 3.15